# 1
A relaxed Y2ZnSi4Pd3 crystal, computed with PBE-GGA.

SG ... No. 115
DFT total energy ... -59.37 eV/f.u.

Cell and atoms, written as POSCAR:
```
Y2ZnSi4Pd3
1.0
4.070 0.000 0.000
0.000 4.070 0.000
0.000 0.000 10.476
Y Zn Si Pd
2 1 4 3
Direct
0.500 0.000 0.253
0.000 0.500 0.747
0.500 0.500 0.500
0.500 0.500 0.000
0.000 0.000 0.000
0.500 0.000 0.641
0.000 0.500 0.359
0.000 0.000 0.500
0.500 0.000 0.870
0.000 0.500 0.130
```



# 2
A relaxed YbSiPd2 crystal, computed with PBE-GGA.

SG ... No. 62
DFT total energy ... -20.98 eV/f.u.

Cell and atoms, written as POSCAR:
```
YbSiPd2
1.0
-5.280 1.108 -1.326
-2.150 -4.340 4.932
-0.056 5.535 4.847
Si Yb Pd
4 4 8
Direct
0.368 0.750 0.124
0.632 0.250 0.876
0.868 0.250 0.376
0.132 0.750 0.624
0.133 0.250 0.021
0.367 0.250 0.521
0.633 0.750 0.479
0.867 0.750 0.979
0.104 0.551 0.328
0.104 0.949 0.328
0.396 0.551 0.828
0.896 0.449 0.672
0.604 0.449 0.172
0.896 0.051 0.672
0.396 0.949 0.828
0.604 0.051 0.172
```



# 3
A relaxed YbSi2Pd2 crystal, computed with PBE-GGA.

SG ... No. 139
DFT total energy ... -26.98 eV/f.u.

Cell and atoms, written as POSCAR:
```
YbSi2Pd2
1.0
-4.669 -2.531 2.340
-2.505 -4.424 -2.798
5.330 1.585 1.660
Si Yb Pd
2 1 2
Direct
0.618 0.618 0.000
0.382 0.382 0.000
0.000 0.000 0.000
0.250 0.750 0.500
0.750 0.250 0.500
```



# 4
A relaxed Zn3SiPd4 crystal, computed with PBE-GGA.

SG ... No. 139
DFT total energy ... -34.18 eV/f.u.

Cell and atoms, written as POSCAR:
```
Zn3SiPd4
1.0
-4.053 -0.792 0.588
0.926 -3.911 1.117
2.099 4.272 5.424
Zn Si Pd
3 1 4
Direct
0.000 0.500 0.000
0.752 0.251 0.503
0.248 0.749 0.497
0.500 0.000 0.000
0.382 0.382 0.765
0.618 0.618 0.235
0.118 0.118 0.235
0.882 0.882 0.765
```



# 5
A relaxed ZnSi2Pd crystal, computed with PBE-GGA.

SG ... No. 122
DFT total energy ... -17.46 eV/f.u.

Cell and atoms, written as POSCAR:
```
ZnSi2Pd
1.0
3.874 0.000 0.000
0.000 3.874 0.000
1.937 1.937 8.377
Zn Si Pd
2 4 2
Direct
0.500 0.500 0.000
0.250 0.750 0.500
0.632 0.125 0.250
0.118 0.625 0.250
0.375 0.368 0.750
0.875 0.882 0.750
0.000 0.000 0.000
0.750 0.250 0.500
```



# 6
A relaxed ZnSiPd crystal, computed with PBE-GGA.

SG ... No. 216
DFT total energy ... -12.61 eV/f.u.

Cell and atoms, written as POSCAR:
```
ZnSiPd
1.0
-2.593 0.073 3.216
-3.416 -2.324 -0.047
-0.298 -3.285 2.489
Zn Si Pd
1 1 1
Direct
0.500 0.500 0.500
0.000 0.000 0.000
0.250 0.250 0.250
```



# 7
A relaxed ZnSi2Pd2 crystal, computed with PBE-GGA.

SG ... No. 127
DFT total energy ... -23.44 eV/f.u.

Cell and atoms, written as POSCAR:
```
ZnSi2Pd2
1.0
7.372 0.000 0.000
0.000 7.372 0.000
0.000 0.000 2.833
Zn Si Pd
2 4 4
Direct
0.000 0.000 0.000
0.500 0.500 0.000
0.159 0.659 0.500
0.659 0.841 0.500
0.841 0.341 0.500
0.341 0.159 0.500
0.362 0.862 0.000
0.862 0.638 0.000
0.638 0.138 0.000
0.138 0.362 0.000
```



# 8
A relaxed ZnSiPd6 crystal, computed with PBE-GGA.

SG ... No. 2
Excess energy over the best structure of this formula in the dataset ... 27 meV/atom
DFT total energy ... -40.71 eV/f.u.

Cell and atoms, written as POSCAR:
```
ZnSiPd6
1.0
6.774 0.018 0.848
3.507 6.764 1.129
4.030 2.622 3.481
Zn Si Pd
1 1 6
Direct
0.500 0.500 0.500
0.000 0.000 0.000
0.944 0.388 0.894
0.791 0.052 0.767
0.443 0.239 0.194
0.209 0.948 0.233
0.056 0.612 0.106
0.557 0.761 0.806
```



# 9
A relaxed Zn5Si2Pd12 crystal, computed with PBE-GGA.

SG ... No. 12
DFT total energy ... -87.91 eV/f.u.

Cell and atoms, written as POSCAR:
```
Zn5Si2Pd12
1.0
-0.565 -1.343 -8.060
6.179 -1.040 3.902
-1.864 -5.316 1.016
Zn Si Pd
5 2 12
Direct
0.243 0.487 0.538
0.312 0.624 0.082
0.000 0.000 0.500
0.688 0.376 0.918
0.757 0.513 0.462
0.752 0.000 0.000
0.248 0.000 0.000
0.896 0.793 0.098
0.056 0.630 0.802
0.574 0.630 0.802
0.174 0.798 0.376
0.624 0.798 0.376
0.457 0.913 0.760
0.543 0.087 0.240
0.826 0.202 0.624
0.376 0.202 0.624
0.944 0.370 0.198
0.426 0.370 0.198
0.104 0.207 0.902
```



# 10
A relaxed ZnSi2Pd8 crystal, computed with PBE-GGA.

SG ... No. 12
Excess energy over the best structure of this formula in the dataset ... 0 meV/atom
DFT total energy ... -59.33 eV/f.u.

Cell and atoms, written as POSCAR:
```
ZnSi2Pd8
1.0
3.964 0.000 0.000
0.000 6.041 0.084
-1.982 -2.485 6.841
Zn Si Pd
1 2 8
Direct
0.500 0.000 0.000
0.816 0.306 0.632
0.184 0.694 0.368
0.405 0.525 0.809
0.675 0.962 0.351
0.804 0.692 0.608
0.968 0.238 0.937
0.196 0.308 0.392
0.325 0.038 0.649
0.595 0.475 0.191
0.032 0.762 0.063
```



# 11
A relaxed ZnSiPd crystal, computed with PBE-GGA.

SG ... No. 187
DFT total energy ... -12.42 eV/f.u.

Cell and atoms, written as POSCAR:
```
ZnSiPd
1.0
2.826 0.000 0.000
0.000 4.269 0.000
0.000 -2.134 3.697
Zn Si Pd
1 1 1
Direct
0.666 0.667 0.333
0.168 0.000 0.000
0.166 0.333 0.667
```



# 12
A relaxed ZnSi2Pd6 crystal, computed with PBE-GGA.

SG ... No. 12
DFT total energy ... -47.92 eV/f.u.

Cell and atoms, written as POSCAR:
```
ZnSi2Pd6
1.0
4.348 0.000 0.000
2.174 4.195 -0.354
2.174 1.617 7.136
Zn Si Pd
1 2 6
Direct
0.000 0.500 0.500
0.339 0.552 0.770
0.661 0.448 0.230
0.685 0.711 0.919
0.315 0.289 0.081
0.962 0.885 0.191
0.359 0.842 0.440
0.038 0.115 0.809
0.641 0.158 0.560
```



# 13
A relaxed Zn2SiPd6 crystal, computed with PBE-GGA.

SG ... No. 12
Excess energy over the best structure of this formula in the dataset ... 103 meV/atom
DFT total energy ... -42.78 eV/f.u.

Cell and atoms, written as POSCAR:
```
Zn2SiPd6
1.0
-1.358 3.835 -0.452
-0.684 -0.916 -5.721
-4.758 -3.406 4.089
Zn Si Pd
2 1 6
Direct
0.668 0.667 0.335
0.332 0.333 0.665
0.000 0.000 0.000
0.161 0.403 0.321
0.839 0.082 0.679
0.839 0.597 0.679
0.500 0.239 0.000
0.161 0.918 0.321
0.500 0.761 0.000
```



# 14
A relaxed Zn2SiPd5 crystal, computed with PBE-GGA.

SG ... No. 55
DFT total energy ... -38.58 eV/f.u.

Cell and atoms, written as POSCAR:
```
Zn2SiPd5
1.0
-2.538 -3.127 0.633
4.243 -3.168 1.360
-1.050 2.868 9.959
Zn Si Pd
4 2 10
Direct
0.500 0.354 0.355
0.500 0.646 0.645
0.500 0.146 0.855
0.500 0.854 0.145
0.000 0.000 0.500
0.000 0.500 0.000
0.500 0.324 0.101
0.500 0.676 0.899
0.500 0.824 0.399
0.500 0.176 0.601
0.000 0.899 0.728
0.000 0.101 0.272
0.000 0.399 0.772
0.000 0.601 0.228
0.000 0.500 0.500
0.000 0.000 0.000
```



# 15
A relaxed ZnSiPd3 crystal, computed with PBE-GGA.

SG ... No. 1
Excess energy over the best structure of this formula in the dataset ... 0 meV/atom
DFT total energy ... -24.45 eV/f.u.

Cell and atoms, written as POSCAR:
```
ZnSiPd3
1.0
-0.832 0.151 -2.824
4.960 -5.771 -1.771
-2.399 -7.389 0.311
Zn Si Pd
2 2 6
Direct
0.364 0.681 0.731
0.862 0.228 0.276
0.364 0.742 0.179
0.364 0.128 0.794
0.863 0.377 0.798
0.864 0.989 0.649
0.864 0.599 0.039
0.363 0.067 0.124
0.863 0.740 0.430
0.362 0.391 0.444
```



# 16
A relaxed ZnSi2Pd8 crystal, computed with PBE-GGA.

SG ... No. 71
Excess energy over the best structure of this formula in the dataset ... 19 meV/atom
DFT total energy ... -59.13 eV/f.u.

Cell and atoms, written as POSCAR:
```
ZnSi2Pd8
1.0
-0.583 0.121 3.921
4.607 -5.118 0.844
2.349 6.510 -1.858
Zn Si Pd
1 2 8
Direct
0.500 0.000 0.000
0.186 0.686 0.372
0.814 0.314 0.628
0.665 0.881 0.330
0.335 0.552 0.670
0.143 0.143 0.286
0.000 0.309 0.000
0.857 0.857 0.714
0.665 0.448 0.330
0.335 0.119 0.670
0.000 0.691 0.000
```



# 17
A relaxed ZnSiPd3 crystal, computed with PBE-GGA.

SG ... No. 221
Excess energy over the best structure of this formula in the dataset ... 1031 meV/atom
DFT total energy ... -19.30 eV/f.u.

Cell and atoms, written as POSCAR:
```
ZnSiPd3
1.0
4.584 0.000 0.000
0.000 4.584 0.000
0.000 0.000 4.584
Zn Si Pd
1 1 3
Direct
0.000 0.000 0.000
0.500 0.500 0.500
0.000 0.500 0.000
0.000 0.000 0.500
0.500 0.000 0.000
```



# 18
A relaxed Zn8SiPd6 crystal, computed with PBE-GGA.

SG ... No. 148
DFT total energy ... -52.30 eV/f.u.

Cell and atoms, written as POSCAR:
```
Zn8SiPd6
1.0
6.160 0.007 2.739
1.782 5.896 2.739
0.009 0.007 6.741
Zn Si Pd
8 1 6
Direct
0.225 0.534 0.880
0.120 0.775 0.466
0.466 0.120 0.775
0.671 0.671 0.671
0.329 0.329 0.329
0.534 0.880 0.225
0.880 0.225 0.534
0.775 0.466 0.120
0.000 0.000 0.000
0.052 0.371 0.728
0.272 0.948 0.629
0.629 0.272 0.948
0.371 0.728 0.052
0.728 0.052 0.371
0.948 0.629 0.272
```



# 19
A relaxed Zn6SiPd12 crystal, computed with PBE-GGA.

SG ... No. 148
DFT total energy ... -79.38 eV/f.u.

Cell and atoms, written as POSCAR:
```
Zn6SiPd12
1.0
6.932 0.072 0.086
-0.980 6.863 0.086
-0.980 -1.142 6.768
Zn Si Pd
6 1 12
Direct
0.726 0.825 0.499
0.501 0.274 0.175
0.175 0.501 0.274
0.274 0.175 0.501
0.499 0.726 0.825
0.825 0.499 0.726
0.000 0.000 0.000
0.826 0.503 0.367
0.367 0.826 0.503
0.503 0.367 0.826
0.174 0.497 0.633
0.633 0.174 0.497
0.497 0.633 0.174
0.019 0.886 0.314
0.114 0.686 0.981
0.686 0.981 0.114
0.981 0.114 0.686
0.886 0.314 0.019
0.314 0.019 0.886
```



# 20
A relaxed Zn3SiPd6 crystal, computed with PBE-GGA.

SG ... No. 11
DFT total energy ... -45.46 eV/f.u.

Cell and atoms, written as POSCAR:
```
Zn3SiPd6
1.0
4.441 0.000 0.000
0.000 6.892 -2.504
0.000 -0.085 9.569
Zn Si Pd
6 2 12
Direct
0.250 0.521 0.373
0.750 0.479 0.627
0.250 0.391 0.790
0.750 0.609 0.210
0.250 0.780 0.975
0.750 0.220 0.025
0.250 0.958 0.598
0.750 0.042 0.402
0.250 0.468 0.081
0.750 0.532 0.919
0.250 0.145 0.173
0.750 0.855 0.827
0.250 0.670 0.666
0.750 0.330 0.334
0.250 0.239 0.502
0.750 0.761 0.498
0.250 0.851 0.320
0.750 0.149 0.680
0.250 0.087 0.864
0.750 0.913 0.136
```



# 21
A relaxed ZnSiPd3 crystal, computed with PBE-GGA.

SG ... No. 221
Excess energy over the best structure of this formula in the dataset ... 403 meV/atom
DFT total energy ... -22.43 eV/f.u.

Cell and atoms, written as POSCAR:
```
ZnSiPd3
1.0
-1.808 2.058 -3.557
-0.160 -3.919 -2.185
-4.107 -0.753 1.652
Zn Si Pd
1 1 3
Direct
0.500 0.500 0.500
0.000 0.000 0.000
0.000 0.500 0.000
0.000 0.000 0.500
0.500 0.000 0.000
```



# 22
A relaxed ZnSiPd6 crystal, computed with PBE-GGA.

SG ... No. 12
Excess energy over the best structure of this formula in the dataset ... 0 meV/atom
DFT total energy ... -40.93 eV/f.u.

Cell and atoms, written as POSCAR:
```
ZnSiPd6
1.0
3.919 -0.001 1.184
-0.356 3.904 1.181
-0.137 -0.157 7.574
Zn Si Pd
1 1 6
Direct
0.500 0.500 0.000
0.000 0.000 0.000
0.751 0.751 0.498
0.611 0.110 0.781
0.110 0.610 0.781
0.389 0.890 0.219
0.249 0.249 0.502
0.890 0.390 0.219
```



Number 1: magnetic moment 0.0 μB/f.u., ΔE_f (raw) -0.790 eV per atom. Number 2: magnetic moment 0.0 μB/f.u., ΔE_f (raw) -0.910 eV per atom. Number 3: magnetic moment 0.2 μB/f.u., ΔE_f (raw) -0.844 eV per atom. Number 4: magnetic moment 0.0 μB/f.u., ΔE_f (raw) -0.520 eV per atom. Number 5: magnetic moment 0.0 μB/f.u., ΔE_f (raw) -0.037 eV per atom. Number 6: magnetic moment 0.0 μB/f.u., ΔE_f (raw) -0.240 eV per atom. Number 7: magnetic moment 0.0 μB/f.u., ΔE_f (raw) -0.187 eV per atom. Number 8: magnetic moment 0.0 μB/f.u., ΔE_f (raw) -0.357 eV per atom. Number 9: magnetic moment 0.0 μB/f.u., ΔE_f (raw) -0.441 eV per atom. Number 10: magnetic moment 0.0 μB/f.u., ΔE_f (raw) -0.515 eV per atom. Number 11: magnetic moment 0.0 μB/f.u., ΔE_f (raw) -0.176 eV per atom. Number 12: magnetic moment 0.0 μB/f.u., ΔE_f (raw) -0.516 eV per atom. Number 13: magnetic moment 0.0 μB/f.u., ΔE_f (raw) -0.405 eV per atom. Number 14: magnetic moment 0.0 μB/f.u., ΔE_f (raw) -0.580 eV per atom. Number 15: magnetic moment 0.0 μB/f.u., ΔE_f (raw) -0.435 eV per atom. Number 16: magnetic moment 0.0 μB/f.u., ΔE_f (raw) -0.497 eV per atom. Number 17: magnetic moment 0.0 μB/f.u., ΔE_f (raw) 0.596 eV per atom. Number 18: magnetic moment 0.0 μB/f.u., ΔE_f (raw) -0.369 eV per atom. Number 19: magnetic moment 0.0 μB/f.u., ΔE_f (raw) -0.211 eV per atom. Number 20: magnetic moment 0.0 μB/f.u., ΔE_f (raw) -0.506 eV per atom. Number 21: magnetic moment 0.0 μB/f.u., ΔE_f (raw) -0.031 eV per atom. Number 22: magnetic moment 0.0 μB/f.u., ΔE_f (raw) -0.385 eV per atom.